[1]
# La7Sm4Dy | Alexandria | PBE-GGA | optimized geometry
# Volume: 424.34 Å³/cell
# Density of states at the Fermi level: 20.48 states/eV per cell
# Distance to the lowest polymorph of the same formula: 0 kJ/mol of formula units
# ΔH_f (0 K): 0.018 eV/atom
# Size of the total moment: 0.000 μB/atom
data_La7Sm4Dy
_symmetry_space_group_name_H-M 'P -1'
_symmetry_Int_Tables_number 2
_symmetry_space_group_name_Hall '-P 1'
_cell_length_a 6.411
_cell_length_b 7.328
_cell_length_c 9.745
_cell_angle_alpha 79.54
_cell_angle_beta 70.81
_cell_angle_gamma 89.97
loop_
_atom_site_label
_atom_site_type_symbol
_atom_site_fract_x
_atom_site_fract_y
_atom_site_fract_z
La1 La 0.000 0.000 0.000
La2 La 0.166 0.916 0.334
La3 La 0.333 0.336 0.667
La4 La 0.499 0.748 0.000
Sm1 Sm 0.163 0.417 0.333
Sm2 Sm 0.334 0.832 0.668
Dy1 Dy 0.000 0.500 0.000

[2]
# Nd7HoEr3 | Alexandria | PBE-GGA | optimized geometry
# Volume: 762.86 Å³/cell
# Density of states at the Fermi level: 28.48 states/eV per cell
# Distance to the lowest polymorph of the same formula: 118 kJ/mol of formula units
# ΔH_f (0 K): 0.228 eV/atom
# Size of the total moment: 0.000 μB/atom
data_Nd7HoEr3
_symmetry_space_group_name_H-M 'C 1 2/m 1'
_symmetry_Int_Tables_number 12
_symmetry_space_group_name_Hall '-C 2y'
_cell_length_a 12.787
_cell_length_b 11.389
_cell_length_c 5.902
_cell_angle_alpha 90.00
_cell_angle_beta 117.43
_cell_angle_gamma 90.00
loop_
_atom_site_label
_atom_site_type_symbol
_atom_site_fract_x
_atom_site_fract_y
_atom_site_fract_z
Nd1 Nd 0.000 0.000 0.000
Nd2 Nd 0.192 0.289 0.692
Nd3 Nd 0.209 0.500 0.207
Ho1 Ho 0.000 0.000 0.500
Er1 Er 0.000 0.295 0.000
Er2 Er 0.000 0.500 0.500

[3]
# TlV2Sb | Alexandria | PBE-GGA | optimized geometry
# Volume: 290.26 Å³/cell
# Density of states at the Fermi level: 27.17 states/eV per cell
# Distance to the lowest polymorph of the same formula: 0 kJ/mol of formula units
# Raw formation energy: 0.50 eV/atom
# Size of the total moment: 0.083 μB/atom
data_TlV2Sb
_symmetry_space_group_name_H-M 'F m -3 m'
_symmetry_Int_Tables_number 225
_symmetry_space_group_name_Hall '-F 4 2 3'
_cell_length_a 6.621
_cell_length_b 6.621
_cell_length_c 6.621
_cell_angle_alpha 90.00
_cell_angle_beta 90.00
_cell_angle_gamma 90.00
loop_
_atom_site_label
_atom_site_type_symbol
_atom_site_fract_x
_atom_site_fract_y
_atom_site_fract_z
Tl1 Tl 0.000 0.000 0.000
V1 V 0.250 0.250 0.250
Sb1 Sb 0.000 0.000 0.500

[4]
# GdAlZnNi | Alexandria | PBE-GGA | optimized geometry
# Volume: 276.15 Å³/cell
# Density of states at the Fermi level: 8.90 states/eV per cell
# ΔH_f (0 K): -0.376 eV/atom
# Size of the total moment: 1.790 μB/atom
data_GdAlZnNi
_symmetry_space_group_name_H-M 'F -4 3 m'
_symmetry_Int_Tables_number 216
_symmetry_space_group_name_Hall 'F -4 2 3'
_cell_length_a 6.512
_cell_length_b 6.512
_cell_length_c 6.512
_cell_angle_alpha 90.00
_cell_angle_beta 90.00
_cell_angle_gamma 90.00
loop_
_atom_site_label
_atom_site_type_symbol
_atom_site_fract_x
_atom_site_fract_y
_atom_site_fract_z
Gd1 Gd 0.000 0.000 0.000
Al1 Al 0.000 0.000 0.500
Zn1 Zn 0.250 0.250 0.750
Ni1 Ni 0.250 0.250 0.250

[5]
# CsHg2BiH | Alexandria | PBE-GGA | optimized geometry
# Volume: 175.03 Å³/cell
# Density of states at the Fermi level: 2.28 states/eV per cell
# Calculated total energy: -8.573 eV/cell
# Size of the total moment: 0.000 μB/atom
data_CsHg2BiH
_symmetry_space_group_name_H-M 'P 4/m m m'
_symmetry_Int_Tables_number 123
_symmetry_space_group_name_Hall '-P 4 2'
_cell_length_a 6.228
_cell_length_b 6.228
_cell_length_c 4.512
_cell_angle_alpha 90.00
_cell_angle_beta 90.00
_cell_angle_gamma 90.00
loop_
_atom_site_label
_atom_site_type_symbol
_atom_site_fract_x
_atom_site_fract_y
_atom_site_fract_z
Cs1 Cs 0.000 0.000 0.000
Hg1 Hg 0.000 0.500 0.500
Bi1 Bi 0.500 0.500 0.500
H1 H 0.500 0.500 0.000

[6]
# CePrTmMg | Alexandria | PBE-GGA | optimized geometry
# Volume: 485.36 Å³/cell
# Density of states at the Fermi level: 32.54 states/eV per cell
# ΔH_f (0 K): 0.084 eV/atom
# Size of the total moment: 0.301 μB/atom
data_CePrTmMg
_symmetry_space_group_name_H-M 'F -4 3 m'
_symmetry_Int_Tables_number 216
_symmetry_space_group_name_Hall 'F -4 2 3'
_cell_length_a 7.859
_cell_length_b 7.859
_cell_length_c 7.859
_cell_angle_alpha 90.00
_cell_angle_beta 90.00
_cell_angle_gamma 90.00
loop_
_atom_site_label
_atom_site_type_symbol
_atom_site_fract_x
_atom_site_fract_y
_atom_site_fract_z
Ce1 Ce 0.000 0.000 0.000
Pr1 Pr 0.000 0.000 0.500
Tm1 Tm 0.250 0.250 0.250
Mg1 Mg 0.250 0.250 0.750

[7]
# TaHgOs | Alexandria | PBE-GGA | optimized geometry
# Volume: 108.76 Å³/cell
# Density of states at the Fermi level: 6.37 states/eV per cell
# Distance to the lowest polymorph of the same formula: 0 kJ/mol of formula units
# ΔH_f (0 K): 0.247 eV/atom
# Size of the total moment: 0.000 μB/atom
data_TaHgOs
_symmetry_space_group_name_H-M 'I 4 m m'
_symmetry_Int_Tables_number 107
_symmetry_space_group_name_Hall 'I 4 -2'
_cell_length_a 3.070
_cell_length_b 3.070
_cell_length_c 11.540
_cell_angle_alpha 90.00
_cell_angle_beta 90.00
_cell_angle_gamma 90.00
loop_
_atom_site_label
_atom_site_type_symbol
_atom_site_fract_x
_atom_site_fract_y
_atom_site_fract_z
Ta1 Ta 0.000 0.000 0.000
Hg1 Hg 0.000 0.000 0.309
Os1 Os 0.000 0.000 0.630

[8]
# KAs2Ir | Alexandria | PBE-GGA | optimized geometry
# Volume: 296.15 Å³/cell
# Density of states at the Fermi level: 3.84 states/eV per cell
# Distance to the lowest polymorph of the same formula: 227 kJ/mol of formula units
# ΔH_f (0 K): 0.282 eV/atom
# Size of the total moment: 0.000 μB/atom
data_KAs2Ir
_symmetry_space_group_name_H-M 'F m -3 m'
_symmetry_Int_Tables_number 225
_symmetry_space_group_name_Hall '-F 4 2 3'
_cell_length_a 6.666
_cell_length_b 6.666
_cell_length_c 6.666
_cell_angle_alpha 90.00
_cell_angle_beta 90.00
_cell_angle_gamma 90.00
loop_
_atom_site_label
_atom_site_type_symbol
_atom_site_fract_x
_atom_site_fract_y
_atom_site_fract_z
K1 K 0.000 0.000 0.000
As1 As 0.250 0.250 0.250
Ir1 Ir 0.000 0.000 0.500

[9]
# Pa2CoSn | Alexandria | PBE-GGA | optimized geometry
# Volume: 85.47 Å³/cell
# Density of states at the Fermi level: 5.26 states/eV per cell
# Distance to the lowest polymorph of the same formula: 0 kJ/mol of formula units
# ΔH_f (0 K): -0.257 eV/atom
# Size of the total moment: 0.000 μB/atom
data_Pa2CoSn
_symmetry_space_group_name_H-M 'P 4/m m m'
_symmetry_Int_Tables_number 123
_symmetry_space_group_name_Hall '-P 4 2'
_cell_length_a 3.193
_cell_length_b 3.193
_cell_length_c 8.385
_cell_angle_alpha 90.00
_cell_angle_beta 90.00
_cell_angle_gamma 90.00
loop_
_atom_site_label
_atom_site_type_symbol
_atom_site_fract_x
_atom_site_fract_y
_atom_site_fract_z
Pa1 Pa 0.000 0.000 0.206
Co1 Co 0.500 0.500 0.000
Sn1 Sn 0.500 0.500 0.500

[10]
# SrLaIrO6 | Alexandria | PBE-GGA | optimized geometry
# Volume: 290.75 Å³/cell
# Density of states at the Fermi level: 10.36 states/eV per cell
# Raw formation energy: -1.89 eV/atom
# Size of the total moment: 0.227 μB/atom
data_SrLaIrO6
_symmetry_space_group_name_H-M 'P -3 1 c'
_symmetry_Int_Tables_number 163
_symmetry_space_group_name_Hall '-P 3 2c'
_cell_length_a 5.8147
_cell_length_b 5.8147
_cell_length_c 9.9296
_cell_angle_alpha 90.00
_cell_angle_beta 90.00
_cell_angle_gamma 120.00
loop_
_atom_site_label
_atom_site_type_symbol
_atom_site_fract_x
_atom_site_fract_y
_atom_site_fract_z
Sr1 Sr 0.0000 0.0000 0.0000
La1 La 0.3333 0.6667 0.2500
Ir1 Ir 0.3333 0.6667 0.7500
O1 O 0.0585 0.3927 0.6408

[11]
# Ba2DyCd3Hg12 | Alexandria | PBE-GGA | optimized geometry
# Volume: 1650.30 Å³/cell
# Density of states at the Fermi level: 28.75 states/eV per cell
# ΔH_f (0 K): -0.170 eV/atom
# Size of the total moment: 0.000 μB/atom
data_Ba2DyCd3Hg12
_symmetry_space_group_name_H-M 'R -3 m'
_symmetry_Int_Tables_number 166
_symmetry_space_group_name_Hall '-R 3 2"'
_cell_length_a 7.1427
_cell_length_b 7.1427
_cell_length_c 37.3519
_cell_angle_alpha 90.00
_cell_angle_beta 90.00
_cell_angle_gamma 120.00
loop_
_atom_site_label
_atom_site_type_symbol
_atom_site_fract_x
_atom_site_fract_y
_atom_site_fract_z
Ba1 Ba 0.0000 0.0000 0.1369
Dy1 Dy 0.0000 0.0000 0.5000
Cd1 Cd 0.0000 0.5000 0.0000
Hg1 Hg 0.0161 0.5080 0.8894
Hg2 Hg 0.0423 0.5211 0.6139

[12]
# HgTe3 | Alexandria | PBE-GGA | optimized geometry
# Volume: 124.00 Å³/cell
# Density of states at the Fermi level: 2.54 states/eV per cell
# Raw formation energy: 0.00 eV/atom
# Size of the total moment: 0.000 μB/atom
data_HgTe3
_symmetry_space_group_name_H-M 'P m m 2'
_symmetry_Int_Tables_number 25
_symmetry_space_group_name_Hall 'P 2 -2'
_cell_length_a 4.392
_cell_length_b 6.427
_cell_length_c 4.392
_cell_angle_alpha 90.00
_cell_angle_beta 90.00
_cell_angle_gamma 90.00
loop_
_atom_site_label
_atom_site_type_symbol
_atom_site_fract_x
_atom_site_fract_y
_atom_site_fract_z
Hg1 Hg 0.000 0.000 0.000
Te1 Te 0.000 0.500 0.998
Te2 Te 0.500 0.000 0.500
Te3 Te 0.500 0.500 0.498

What is the formula in the fifth record? CsHg2BiH